Here is a relaxed KUAu crystal from the Open Quantum Materials Database. Energies are from PBE.

Cell and atoms, written as extended XYZ:
```
3
Lattice="0.000 3.674 3.674 3.674 0.000 3.674 3.674 3.674 0.000" Properties=species:S:1:pos:R:3 pbc="T T T"
K 0.000 0.000 0.000
U 3.674 3.674 3.674
Au 1.837 1.837 1.837
```

Density: 7.94 g cm⁻³
Space-group type: F-43m, No. 216
Total energy: -13.293 eV per formula unit

---

Here is a relaxed HoTc crystal from the Open Quantum Materials Database. Energies are from PBE.

Cell and atoms, written as extended XYZ:
```
2
Lattice="0.000 2.816 2.816 2.816 0.000 2.816 2.816 2.816 0.000" Properties=species:S:1:pos:R:3 pbc="T T T"
Ho 0.000 0.000 0.000
Tc 2.816 2.816 2.816
```

Energy of formation: 894 meV per atom
Density: 9.77 g cm⁻³
Space-group type: Fm-3m, No. 225

---

Here is a relaxed ZnSiSb crystal from the Open Quantum Materials Database. Energies are from PBE.

Cell and atoms, written as extended XYZ:
```
3
Lattice="0.000 3.319 3.319 3.319 0.000 3.319 3.319 3.319 0.000" Properties=species:S:1:pos:R:3 pbc="T T T"
Zn 0.000 0.000 0.000
Si 3.319 3.319 3.319
Sb 1.660 1.660 1.660
```

Density: 4.89 g cm⁻³
Space-group type: F-43m, No. 216
Total energy: -9.253 eV per formula unit

---

Here is a relaxed HfCoNi crystal from the Open Quantum Materials Database. Energies are from PBE.

Cell and atoms, written as extended XYZ:
```
3
Lattice="0.000 2.868 2.868 2.868 0.000 2.868 2.868 2.868 0.000" Properties=species:S:1:pos:R:3 pbc="T T T"
Hf 0.000 0.000 0.000
Co 1.434 1.434 1.434
Ni 2.868 2.868 2.868
```

Energy of formation: 44 meV per atom
Density: 10.42 g cm⁻³
Space-group type: F-43m, No. 216

---

Here is a relaxed YFeSb2 crystal from the Open Quantum Materials Database. Energies are from PBE.

Cell and atoms, written as extended XYZ:
```
4
Lattice="0.000 3.539 3.539 3.539 0.000 3.539 3.539 3.539 0.000" Properties=species:S:1:pos:R:3 pbc="T T T"
Y 0.000 0.000 0.000
Fe 1.770 1.770 1.770
Sb 3.539 3.539 3.539
Sb 5.309 5.309 5.309
```

Density: 7.27 g cm⁻³
Space-group type: F-43m, No. 216
Total energy: -22.589 eV per formula unit

---

Here is a relaxed LuBeTc2 crystal from the Open Quantum Materials Database. Energies are from PBE.

Cell and atoms, written as extended XYZ:
```
4
Lattice="0.000 3.136 3.136 3.136 0.000 3.136 3.136 3.136 0.000" Properties=species:S:1:pos:R:3 pbc="T T T"
Lu 0.000 0.000 0.000
Be 4.704 4.704 4.704
Tc 1.568 1.568 1.568
Tc 3.136 3.136 3.136
```

Density: 10.23 g cm⁻³
Space-group type: F-43m, No. 216
Total energy: -28.776 eV per formula unit

---

Here is a relaxed NiSnB2 crystal from the Open Quantum Materials Database. Energies are from PBE.

Cell and atoms, written as extended XYZ:
```
4
Lattice="0.000 2.921 2.921 2.921 0.000 2.921 2.921 2.921 0.000" Properties=species:S:1:pos:R:3 pbc="T T T"
Ni 0.000 0.000 0.000
Sn 4.382 4.382 4.382
B 1.461 1.461 1.461
B 2.921 2.921 2.921
```

Density: 6.63 g cm⁻³
Space-group type: F-43m, No. 216
Total energy: -17.341 eV per formula unit

---

Here is a relaxed CsGdHgTe3 crystal from the Open Quantum Materials Database. Energies are from PBE.

Cell and atoms, written as extended XYZ:
```
24
Lattice="11.298 0.000 0.000 0.000 4.664 0.000 0.000 0.000 17.328" Properties=species:S:1:pos:R:3 pbc="T T T"
Cs 0.512 1.166 3.141
Cs 5.137 3.498 11.805
Cs 6.161 1.166 5.523
Cs 10.786 3.498 14.187
Gd 1.863 3.498 7.776
Gd 3.786 1.166 16.440
Gd 7.513 3.498 0.887
Gd 9.435 1.166 9.551
Hg 2.033 1.166 11.057
Hg 3.617 3.498 2.393
Hg 7.682 1.166 14.935
Hg 9.266 3.498 6.271
Te 0.144 3.498 10.410
Te 1.956 3.498 0.142
Te 2.457 1.166 13.780
Te 3.192 3.498 5.116
Te 3.693 1.166 8.806
Te 5.505 1.166 1.746
Te 5.793 3.498 15.581
Te 7.605 3.498 8.522
Te 8.106 1.166 12.212
Te 8.841 3.498 3.548
Te 9.342 1.166 17.185
Te 11.154 1.166 6.917
```

Density: 6.36 g cm⁻³
Space-group type: Pnma, No. 62
Total energy: -20.725 eV per formula unit